# La2Er6Sc (PBE, optimized geometry)
data_La2Er6Sc
_symmetry_space_group_name_H-M 'P 1'
_symmetry_Int_Tables_number 1
_cell_length_a 9.205
_cell_length_b 9.205
_cell_length_c 5.928
_cell_angle_alpha 98.69
_cell_angle_beta 98.69
_cell_angle_gamma 141.02
loop_
_symmetry_equiv_pos_as_xyz
'x,y,z'
loop_
_atom_site_label
_atom_site_type_symbol
_atom_site_fract_x
_atom_site_fract_y
_atom_site_fract_z
La1 La 0.176 0.824 0.000
La2 La 0.824 0.176 0.000
Er1 Er 0.164 0.480 0.651
Er2 Er 0.322 0.322 0.164
Er3 Er 0.480 0.164 0.651
Er4 Er 0.520 0.836 0.349
Er5 Er 0.678 0.678 0.836
Er6 Er 0.836 0.520 0.349
Sc1 Sc 0.000 0.000 0.500
# Calculated total energy   -42.48 eV for the cell shown
# Density   7.82 g/cm3
# Crystal system   monoclinic
# Total magnetization   0.0000 μB per atom
# Space group   C2/m (12)



# La4Er5Sc (PBE, optimized geometry)
data_La4Er5Sc
_symmetry_space_group_name_H-M 'P 1'
_symmetry_Int_Tables_number 1
_cell_length_a 8.169
_cell_length_b 8.169
_cell_length_c 8.169
_cell_angle_alpha 97.37
_cell_angle_beta 97.37
_cell_angle_gamma 138.02
loop_
_symmetry_equiv_pos_as_xyz
'x,y,z'
loop_
_atom_site_label
_atom_site_type_symbol
_atom_site_fract_x
_atom_site_fract_y
_atom_site_fract_z
La1 La 0.000 0.320 0.320
La2 La 0.000 0.680 0.680
La3 La 0.320 0.000 0.320
La4 La 0.680 0.000 0.680
Er1 Er 0.237 0.237 0.000
Er2 Er 0.329 0.329 0.628
Er3 Er 0.329 0.701 0.000
Er4 Er 0.701 0.329 0.000
Er5 Er 0.701 0.701 0.372
Sc1 Sc 0.756 0.756 0.000
# Calculated total energy   -46.76 eV for the cell shown
# Density   7.01 g/cm3
# Crystal system   tetragonal
# Total magnetization   0.0000 μB per atom
# Space group   I4mm (107)



# La5ErSc2 (PBE, optimized geometry)
data_La5ErSc2
_symmetry_space_group_name_H-M 'P 1'
_symmetry_Int_Tables_number 1
_cell_length_a 6.544
_cell_length_b 6.544
_cell_length_c 16.536
_cell_angle_alpha 90.00
_cell_angle_beta 90.00
_cell_angle_gamma 130.85
loop_
_symmetry_equiv_pos_as_xyz
'x,y,z'
loop_
_atom_site_label
_atom_site_type_symbol
_atom_site_fract_x
_atom_site_fract_y
_atom_site_fract_z
La1 La 0.019 0.981 0.750
La2 La 0.146 0.854 0.037
La3 La 0.146 0.854 0.463
La4 La 0.455 0.545 0.102
La5 La 0.455 0.545 0.398
La6 La 0.545 0.455 0.602
La7 La 0.545 0.455 0.898
La8 La 0.854 0.146 0.537
La9 La 0.854 0.146 0.963
La10 La 0.981 0.019 0.250
Er1 Er 0.258 0.742 0.250
Er2 Er 0.742 0.258 0.750
Sc1 Sc 0.269 0.731 0.651
Sc2 Sc 0.269 0.731 0.849
Sc3 Sc 0.731 0.269 0.151
Sc4 Sc 0.731 0.269 0.349
# Calculated total energy   -81.79 eV for the cell shown
# Density   5.90 g/cm3
# Crystal system   orthorhombic
# Total magnetization   0.0000 μB per atom
# Space group   Cmcm (63)



# LaEr3Sc2 (PBE, optimized geometry)
data_LaEr3Sc2
_symmetry_space_group_name_H-M 'P 1'
_symmetry_Int_Tables_number 1
_cell_length_a 8.610
_cell_length_b 8.610
_cell_length_c 5.471
_cell_angle_alpha 90.00
_cell_angle_beta 90.00
_cell_angle_gamma 68.94
loop_
_symmetry_equiv_pos_as_xyz
'x,y,z'
loop_
_atom_site_label
_atom_site_type_symbol
_atom_site_fract_x
_atom_site_fract_y
_atom_site_fract_z
La1 La 0.237 0.763 0.750
La2 La 0.763 0.237 0.250
Er1 Er 0.138 0.391 0.250
Er2 Er 0.391 0.138 0.750
Er3 Er 0.408 0.592 0.250
Er4 Er 0.592 0.408 0.750
Er5 Er 0.609 0.862 0.250
Er6 Er 0.862 0.609 0.750
Sc1 Sc 0.016 0.200 0.750
Sc2 Sc 0.200 0.016 0.250
Sc3 Sc 0.800 0.984 0.750
Sc4 Sc 0.984 0.800 0.250
# Calculated total energy   -58.98 eV for the cell shown
# Density   6.41 g/cm3
# Crystal system   orthorhombic
# Total magnetization   0.0000 μB per atom
# Space group   Cmcm (63)



# LaEr2ScSe6 (PBE, optimized geometry)
data_LaEr2ScSe6
_symmetry_space_group_name_H-M 'P 1'
_symmetry_Int_Tables_number 1
_cell_length_a 7.637
_cell_length_b 7.637
_cell_length_c 7.637
_cell_angle_alpha 56.13
_cell_angle_beta 56.13
_cell_angle_gamma 56.13
loop_
_symmetry_equiv_pos_as_xyz
'x,y,z'
loop_
_atom_site_label
_atom_site_type_symbol
_atom_site_fract_x
_atom_site_fract_y
_atom_site_fract_z
La1 La 0.000 0.000 0.000
Er1 Er 0.292 0.292 0.292
Er2 Er 0.800 0.800 0.800
Sc1 Sc 0.488 0.488 0.488
Se1 Se 0.090 0.671 0.422
Se2 Se 0.214 0.582 0.879
Se3 Se 0.422 0.090 0.671
Se4 Se 0.582 0.879 0.214
Se5 Se 0.671 0.422 0.090
Se6 Se 0.879 0.214 0.582
# Formation energy (no corrections)   -1.814 eV per atom
# Density   5.75 g/cm3
# Crystal system   trigonal
# Total magnetization   0.0000 μB per atom
# Space group   R3 (146)



# La3ErSc3Se8 (PBE, optimized geometry)
data_La3ErSc3Se8
_symmetry_space_group_name_H-M 'P 1'
_symmetry_Int_Tables_number 1
_cell_length_a 8.265
_cell_length_b 8.265
_cell_length_c 8.265
_cell_angle_alpha 58.27
_cell_angle_beta 58.27
_cell_angle_gamma 58.27
loop_
_symmetry_equiv_pos_as_xyz
'x,y,z'
loop_
_atom_site_label
_atom_site_type_symbol
_atom_site_fract_x
_atom_site_fract_y
_atom_site_fract_z
La1 La 0.000 0.500 0.500
La2 La 0.500 0.000 0.500
La3 La 0.500 0.500 0.000
Er1 Er 0.500 0.500 0.500
Sc1 Sc 0.000 0.000 0.500
Sc2 Sc 0.000 0.500 0.000
Sc3 Sc 0.500 0.000 0.000
Se1 Se 0.229 0.750 0.750
Se2 Se 0.239 0.239 0.239
Se3 Se 0.250 0.250 0.771
Se4 Se 0.250 0.771 0.250
Se5 Se 0.750 0.229 0.750
Se6 Se 0.750 0.750 0.229
Se7 Se 0.761 0.761 0.761
Se8 Se 0.771 0.250 0.250
# Formation energy (no corrections)   -1.829 eV per atom
# Density   5.85 g/cm3
# Crystal system   trigonal
# Total magnetization   0.0000 μB per atom
# Space group   R-3m (166)



# La4Er3ScSe8 (PBE, optimized geometry)
data_La4Er3ScSe8
_symmetry_space_group_name_H-M 'P 1'
_symmetry_Int_Tables_number 1
_cell_length_a 8.426
_cell_length_b 8.426
_cell_length_c 8.426
_cell_angle_alpha 58.26
_cell_angle_beta 58.26
_cell_angle_gamma 58.26
loop_
_symmetry_equiv_pos_as_xyz
'x,y,z'
loop_
_atom_site_label
_atom_site_type_symbol
_atom_site_fract_x
_atom_site_fract_y
_atom_site_fract_z
La1 La 0.000 0.000 0.000
La2 La 0.000 0.500 0.500
La3 La 0.500 0.000 0.500
La4 La 0.500 0.500 0.000
Er1 Er 0.000 0.000 0.500
Er2 Er 0.000 0.500 0.000
Er3 Er 0.500 0.000 0.000
Sc1 Sc 0.500 0.500 0.500
Se1 Se 0.242 0.242 0.242
Se2 Se 0.247 0.738 0.738
Se3 Se 0.262 0.262 0.753
Se4 Se 0.262 0.753 0.262
Se5 Se 0.738 0.247 0.738
Se6 Se 0.738 0.738 0.247
Se7 Se 0.753 0.262 0.262
Se8 Se 0.758 0.758 0.758
# Formation energy (no corrections)   -1.835 eV per atom
# Density   7.09 g/cm3
# Crystal system   trigonal
# Total magnetization   0.0000 μB per atom
# Space group   R-3m (166)



# La4ErSc3Se8 (PBE, optimized geometry)
data_La4ErSc3Se8
_symmetry_space_group_name_H-M 'P 1'
_symmetry_Int_Tables_number 1
_cell_length_a 8.346
_cell_length_b 8.346
_cell_length_c 8.346
_cell_angle_alpha 58.19
_cell_angle_beta 58.19
_cell_angle_gamma 58.19
loop_
_symmetry_equiv_pos_as_xyz
'x,y,z'
loop_
_atom_site_label
_atom_site_type_symbol
_atom_site_fract_x
_atom_site_fract_y
_atom_site_fract_z
La1 La 0.000 0.000 0.000
La2 La 0.000 0.500 0.500
La3 La 0.500 0.000 0.500
La4 La 0.500 0.500 0.000
Er1 Er 0.500 0.500 0.500
Sc1 Sc 0.000 0.000 0.500
Sc2 Sc 0.000 0.500 0.000
Sc3 Sc 0.500 0.000 0.000
Se1 Se 0.234 0.743 0.743
Se2 Se 0.239 0.239 0.239
Se3 Se 0.257 0.257 0.766
Se4 Se 0.257 0.766 0.257
Se5 Se 0.743 0.234 0.743
Se6 Se 0.743 0.743 0.234
Se7 Se 0.761 0.761 0.761
Se8 Se 0.766 0.257 0.257
# Formation energy (no corrections)   -1.794 eV per atom
# Density   6.28 g/cm3
# Crystal system   trigonal
# Total magnetization   0.0000 μB per atom
# Space group   R-3m (166)



# LaEr2ScSe4 (PBE, optimized geometry)
data_LaEr2ScSe4
_symmetry_space_group_name_H-M 'P 1'
_symmetry_Int_Tables_number 1
_cell_length_a 7.050
_cell_length_b 7.050
_cell_length_c 7.050
_cell_angle_alpha 131.51
_cell_angle_beta 131.51
_cell_angle_gamma 71.01
loop_
_symmetry_equiv_pos_as_xyz
'x,y,z'
loop_
_atom_site_label
_atom_site_type_symbol
_atom_site_fract_x
_atom_site_fract_y
_atom_site_fract_z
La1 La 0.000 0.000 0.000
Er1 Er 0.250 0.750 0.500
Er2 Er 0.750 0.250 0.500
Sc1 Sc 0.500 0.500 0.000
Se1 Se 0.000 0.500 0.500
Se2 Se 0.263 0.263 0.000
Se3 Se 0.500 0.000 0.500
Se4 Se 0.737 0.737 0.000
# Formation energy (no corrections)   -1.696 eV per atom
# Density   7.20 g/cm3
# Crystal system   tetragonal
# Total magnetization   0.0000 μB per atom
# Space group   I4/mmm (139)



# La2SmErSc (PBE, optimized geometry)
data_La2SmErSc
_symmetry_space_group_name_H-M 'P 1'
_symmetry_Int_Tables_number 1
_cell_length_a 8.609
_cell_length_b 8.609
_cell_length_c 6.493
_cell_angle_alpha 90.00
_cell_angle_beta 90.00
_cell_angle_gamma 135.74
loop_
_symmetry_equiv_pos_as_xyz
'x,y,z'
loop_
_atom_site_label
_atom_site_type_symbol
_atom_site_fract_x
_atom_site_fract_y
_atom_site_fract_z
La1 La 0.248 0.248 0.000
La2 La 0.248 0.248 0.500
La3 La 0.752 0.752 0.000
La4 La 0.752 0.752 0.500
Sm1 Sm 0.337 0.663 0.750
Sm2 Sm 0.663 0.337 0.250
Er1 Er 0.248 0.752 0.250
Er2 Er 0.752 0.248 0.750
Sc1 Sc 0.155 0.845 0.750
Sc2 Sc 0.845 0.155 0.250
# Calculated total energy   -47.21 eV for the cell shown
# Density   6.33 g/cm3
# Crystal system   orthorhombic
# Total magnetization   0.0000 μB per atom
# Space group   Cmcm (63)



# LaSm2Er4Sc (PBE, optimized geometry)
data_LaSm2Er4Sc
_symmetry_space_group_name_H-M 'P 1'
_symmetry_Int_Tables_number 1
_cell_length_a 9.395
_cell_length_b 9.395
_cell_length_c 9.395
_cell_angle_alpha 138.05
_cell_angle_beta 103.12
_cell_angle_gamma 91.68
loop_
_symmetry_equiv_pos_as_xyz
'x,y,z'
loop_
_atom_site_label
_atom_site_type_symbol
_atom_site_fract_x
_atom_site_fract_y
_atom_site_fract_z
La1 La 0.000 0.000 0.000
La2 La 0.500 0.000 0.500
Sm1 Sm 0.000 0.500 0.500
Sm2 Sm 0.500 0.000 0.000
Sm3 Sm 0.500 0.500 0.000
Sm4 Sm 0.500 0.500 0.500
Er1 Er 0.235 0.250 0.986
Er2 Er 0.236 0.750 0.486
Er3 Er 0.237 0.239 0.501
Er4 Er 0.237 0.736 0.999
Er5 Er 0.763 0.264 0.001
Er6 Er 0.763 0.761 0.499
Er7 Er 0.764 0.250 0.514
Er8 Er 0.765 0.750 0.014
Sc1 Sc 0.000 0.000 0.500
Sc2 Sc 0.000 0.500 0.000
# Calculated total energy   -71.26 eV for the cell shown
# Density   7.45 g/cm3
# Crystal system   orthorhombic
# Total magnetization   0.1018 μB per atom
# Space group   Imma (74)



# La4SmEr2Sc (PBE, optimized geometry)
data_La4SmEr2Sc
_symmetry_space_group_name_H-M 'P 1'
_symmetry_Int_Tables_number 1
_cell_length_a 5.870
_cell_length_b 5.870
_cell_length_c 7.790
_cell_angle_alpha 90.00
_cell_angle_beta 90.00
_cell_angle_gamma 90.00
loop_
_symmetry_equiv_pos_as_xyz
'x,y,z'
loop_
_atom_site_label
_atom_site_type_symbol
_atom_site_fract_x
_atom_site_fract_y
_atom_site_fract_z
La1 La 0.000 0.500 0.237
La2 La 0.000 0.500 0.763
La3 La 0.500 0.000 0.237
La4 La 0.500 0.000 0.763
Sm1 Sm 0.000 0.000 0.500
Er1 Er 0.000 0.000 0.000
Er2 Er 0.500 0.500 0.500
Sc1 Sc 0.500 0.500 0.000
# Calculated total energy   -39.28 eV for the cell shown
# Density   6.72 g/cm3
# Crystal system   tetragonal
# Total magnetization   0.0001 μB per atom
# Space group   P4/mmm (123)



Here are the calculated V numbers, same order: 281.7 340.5 267.8 189.3 286.7 383.3 406.2 394.0 192.4 168.0 257.1 268.4 (Å³/f.u.).